# TbThIrOs (PBE, relaxed)
# V in Å³/atom: 21.6
# ΔH_f (0 K) in eV/atom: -0.456
data_TbThIrOs
_space_group_name_H-M_alt 'P 1'
_space_group_IT_number 1
_space_group_name_Hall 'P 1'
_cell_length_a 7.019
_cell_length_b 7.019
_cell_length_c 7.019
_cell_angle_alpha 90.00
_cell_angle_beta 90.00
_cell_angle_gamma 90.00
loop_
_atom_site_label
_atom_site_type_symbol
_atom_site_fract_x
_atom_site_fract_y
_atom_site_fract_z
Tb1 Tb 0.000 0.000 0.000
Tb2 Tb 0.000 0.500 0.500
Tb3 Tb 0.500 0.000 0.500
Tb4 Tb 0.500 0.500 0.000
Th1 Th 0.000 0.000 0.500
Th2 Th 0.000 0.500 0.000
Th3 Th 0.500 0.000 0.000
Th4 Th 0.500 0.500 0.500
Ir1 Ir 0.250 0.250 0.750
Ir2 Ir 0.250 0.750 0.250
Ir3 Ir 0.750 0.250 0.250
Ir4 Ir 0.750 0.750 0.750
Os1 Os 0.250 0.250 0.250
Os2 Os 0.250 0.750 0.750
Os3 Os 0.750 0.250 0.750
Os4 Os 0.750 0.750 0.250



# TbZrIrOs (PBE, relaxed)
# V in Å³/atom: 19.0
# ΔH_f (0 K) in eV/atom: -0.521
data_TbZrIrOs
_space_group_name_H-M_alt 'P 1'
_space_group_IT_number 1
_space_group_name_Hall 'P 1'
_cell_length_a 6.721
_cell_length_b 6.721
_cell_length_c 6.721
_cell_angle_alpha 90.00
_cell_angle_beta 90.00
_cell_angle_gamma 90.00
loop_
_atom_site_label
_atom_site_type_symbol
_atom_site_fract_x
_atom_site_fract_y
_atom_site_fract_z
Tb1 Tb 0.000 0.000 0.000
Tb2 Tb 0.000 0.500 0.500
Tb3 Tb 0.500 0.000 0.500
Tb4 Tb 0.500 0.500 0.000
Zr1 Zr 0.000 0.000 0.500
Zr2 Zr 0.000 0.500 0.000
Zr3 Zr 0.500 0.000 0.000
Zr4 Zr 0.500 0.500 0.500
Ir1 Ir 0.250 0.250 0.250
Ir2 Ir 0.250 0.750 0.750
Ir3 Ir 0.750 0.250 0.750
Ir4 Ir 0.750 0.750 0.250
Os1 Os 0.250 0.250 0.750
Os2 Os 0.250 0.750 0.250
Os3 Os 0.750 0.250 0.250
Os4 Os 0.750 0.750 0.750



# TcIr5Os2 (PBE, relaxed)
# V in Å³/atom: 15.3
# ΔH_f (0 K) in eV/atom: 0.405
data_TcIr5Os2
_space_group_name_H-M_alt 'P 1'
_space_group_IT_number 1
_space_group_name_Hall 'P 1'
_cell_length_a 7.333
_cell_length_b 7.333
_cell_length_c 7.333
_cell_angle_alpha 126.66
_cell_angle_beta 126.66
_cell_angle_gamma 78.81
loop_
_atom_site_label
_atom_site_type_symbol
_atom_site_fract_x
_atom_site_fract_y
_atom_site_fract_z
Tc1 Tc 0.250 0.250 0.000
Tc2 Tc 0.750 0.750 0.000
Ir1 Ir 0.000 0.000 0.000
Ir2 Ir 0.026 0.526 0.209
Ir3 Ir 0.183 0.974 0.500
Ir4 Ir 0.317 0.817 0.791
Ir5 Ir 0.474 0.683 0.500
Ir6 Ir 0.500 0.500 0.000
Ir7 Ir 0.526 0.317 0.500
Ir8 Ir 0.683 0.183 0.209
Ir9 Ir 0.817 0.026 0.500
Ir10 Ir 0.974 0.474 0.791
Os1 Os 0.135 0.365 0.500
Os2 Os 0.365 0.865 0.230
Os3 Os 0.635 0.135 0.770
Os4 Os 0.865 0.635 0.500



# TcIr6Os (PBE, relaxed)
# V in Å³/atom: 17.3
# Energy above the lowest structure with this stoichiometry in kJ/mol of formula units: 773
# ΔH_f (0 K) in eV/atom: 0.955
data_TcIr6Os
_space_group_name_H-M_alt 'P 1'
_space_group_IT_number 1
_space_group_name_Hall 'P 1'
_cell_length_a 5.171
_cell_length_b 5.171
_cell_length_c 5.171
_cell_angle_alpha 88.70
_cell_angle_beta 88.70
_cell_angle_gamma 88.70
loop_
_atom_site_label
_atom_site_type_symbol
_atom_site_fract_x
_atom_site_fract_y
_atom_site_fract_z
Tc1 Tc 0.000 0.000 0.000
Ir1 Ir 0.055 0.667 0.667
Ir2 Ir 0.333 0.333 0.945
Ir3 Ir 0.333 0.945 0.333
Ir4 Ir 0.667 0.055 0.667
Ir5 Ir 0.667 0.667 0.055
Ir6 Ir 0.945 0.333 0.333
Os1 Os 0.500 0.500 0.500



Number 1: spin magnetization 0.00 Bohr magnetons per cell, uncorrected energy -8.49 eV per atom. Number 2: spin magnetization 0.00 Bohr magnetons per cell, uncorrected energy -8.84 eV per atom. Number 3: spin magnetization 0.00 Bohr magnetons per cell, uncorrected energy -9.24 eV per atom. Number 4: spin magnetization 0.00 Bohr magnetons per cell, uncorrected energy -8.39 eV per atom.